--- 1 ---
TaNiRh4: relaxed, PBE.

Geometry as CIF:
```
data_TaNiRh4
_chemical_formula_sum 'Ta1 Ni1 Rh4'
_cell_length_a 5.0568
_cell_length_b 5.0568
_cell_length_c 5.0568
_cell_angle_alpha 60.00
_cell_angle_beta 60.00
_cell_angle_gamma 60.00
_symmetry_space_group_name_H-M 'P 1'
_symmetry_Int_Tables_number 1
_symmetry_space_group_name_Hall 'P 1'
loop_
_atom_site_label
_atom_site_type_symbol
_atom_site_fract_x
_atom_site_fract_y
_atom_site_fract_z
Ta1 Ta 0.7500 0.7500 0.7500
Rh1 Rh 0.8764 0.3745 0.3745
Ni1 Ni 0.0000 0.0000 0.0000
Rh2 Rh 0.3745 0.8764 0.3745
Rh3 Rh 0.3745 0.3745 0.3745
Rh4 Rh 0.3745 0.3745 0.8764
```

## Properties
As for the space group: No. 216. The density of states at the Fermi level comes out at 10.40 states/eV/cell.

--- 2 ---
TaNiRh4: relaxed, PBE.

Geometry as CIF:
```
data_TaNiRh4
_chemical_formula_sum 'Ta2 Ni2 Rh8'
_cell_length_a 5.3389
_cell_length_b 5.1908
_cell_length_c 7.2688
_cell_angle_alpha 90.00
_cell_angle_beta 90.00
_cell_angle_gamma 117.86
_symmetry_space_group_name_H-M 'P 1'
_symmetry_Int_Tables_number 1
_symmetry_space_group_name_Hall 'P 1'
loop_
_atom_site_label
_atom_site_type_symbol
_atom_site_fract_x
_atom_site_fract_y
_atom_site_fract_z
Rh1 Rh 0.7424 0.0009 0.0597
Rh2 Rh 0.7424 0.5009 0.5598
Rh3 Rh 0.7424 0.5009 0.9403
Ni1 Ni 0.5000 0.2500 0.2500
Rh4 Rh 0.2576 0.9991 0.5598
Ni2 Ni 0.5000 0.7500 0.7500
Ta1 Ta 0.0000 0.2500 0.7500
Rh5 Rh 0.2576 0.9991 0.9403
Rh6 Rh 0.2576 0.4991 0.0597
Rh7 Rh 0.2576 0.4991 0.4402
Rh8 Rh 0.7424 0.0009 0.4402
Ta2 Ta 0.0000 0.7500 0.2500
```

## Properties
As for the space group: No. 12. The density of states at the Fermi level comes out at 14.43 states/eV/cell.

The structure with the most favorable energy is 2; the runner-up is 19.4 kJ/mol of atoms above it.

--- 1 ---
Tb3NiRh: relaxed, PBE.

Geometry as CIF:
```
data_Tb3NiRh
_chemical_formula_sum 'Tb6 Ni2 Rh2'
_cell_length_a 5.9246
_cell_length_b 6.2969
_cell_length_c 8.1961
_cell_angle_alpha 112.66
_cell_angle_beta 88.94
_cell_angle_gamma 122.16
_symmetry_space_group_name_H-M 'P 1'
_symmetry_Int_Tables_number 1
_symmetry_space_group_name_Hall 'P 1'
loop_
_atom_site_label
_atom_site_type_symbol
_atom_site_fract_x
_atom_site_fract_y
_atom_site_fract_z
Rh1 Rh 0.9994 0.7264 0.0001
Tb1 Tb 0.9697 0.6526 0.3354
Tb2 Tb 0.2689 0.2702 0.2713
Tb3 Tb 0.4582 0.1553 0.8518
Ni1 Ni 0.5001 0.8127 0.5004
Tb4 Tb 0.0303 0.3474 0.6646
Tb5 Tb 0.7311 0.7298 0.7287
Ni2 Ni 0.4999 0.1873 0.4996
Rh2 Rh 0.0006 0.2736 0.9999
Tb6 Tb 0.5418 0.8447 0.1482
```

## Properties
As for the space group: No. 2. The density of states at the Fermi level comes out at 9.19 states/eV/cell.

--- 2 ---
Tb3NiRh: relaxed, PBE.

Geometry as CIF:
```
data_Tb3NiRh
_chemical_formula_sum 'Tb6 Ni2 Rh2'
_cell_length_a 3.9642
_cell_length_b 7.4615
_cell_length_c 8.3274
_cell_angle_alpha 108.61
_cell_angle_beta 90.00
_cell_angle_gamma 90.00
_symmetry_space_group_name_H-M 'P 1'
_symmetry_Int_Tables_number 1
_symmetry_space_group_name_Hall 'P 1'
loop_
_atom_site_label
_atom_site_type_symbol
_atom_site_fract_x
_atom_site_fract_y
_atom_site_fract_z
Tb1 Tb 0.2500 0.9035 0.7563
Tb2 Tb 0.7500 0.0965 0.2437
Rh1 Rh 0.2500 0.3706 0.1990
Tb3 Tb 0.7500 0.3056 0.9335
Ni1 Ni 0.7500 0.0585 0.5834
Rh2 Rh 0.7500 0.6294 0.8010
Tb4 Tb 0.2500 0.6944 0.0665
Ni2 Ni 0.2500 0.9415 0.4166
Tb5 Tb 0.2500 0.3596 0.6035
Tb6 Tb 0.7500 0.6404 0.3965
```

## Properties
As for the space group: No. 11. The density of states at the Fermi level comes out at 7.49 states/eV/cell.

The structure with the most favorable energy is 2; the runner-up is 2.7 kJ/mol of atoms above it.

--- 1 ---
TbNi4Rh: relaxed, PBE.

Geometry as CIF:
```
data_TbNi4Rh
_chemical_formula_sum 'Tb2 Ni8 Rh2'
_cell_length_a 3.8152
_cell_length_b 6.5188
_cell_length_c 7.2000
_cell_angle_alpha 90.00
_cell_angle_beta 90.00
_cell_angle_gamma 90.00
_symmetry_space_group_name_H-M 'P 1'
_symmetry_Int_Tables_number 1
_symmetry_space_group_name_Hall 'P 1'
loop_
_atom_site_label
_atom_site_type_symbol
_atom_site_fract_x
_atom_site_fract_y
_atom_site_fract_z
Ni1 Ni 0.5000 0.2706 0.5330
Ni2 Ni 0.5000 0.2706 0.9670
Rh1 Rh 0.0000 0.7577 0.2500
Tb1 Tb 0.0000 0.6429 0.7500
Ni3 Ni 0.5000 0.7294 0.0330
Tb2 Tb 0.0000 0.3571 0.2500
Ni4 Ni 0.5000 0.7294 0.4670
Ni5 Ni 0.5000 0.0305 0.2500
Rh2 Rh 0.0000 0.2423 0.7500
Ni6 Ni 0.0000 0.0000 0.5000
Ni7 Ni 0.0000 0.0000 0.0000
Ni8 Ni 0.5000 0.9695 0.7500
```

## Properties
As for the space group: No. 51. The density of states at the Fermi level comes out at 19.26 states/eV/cell.

--- 2 ---
TbNi4Rh: relaxed, PBE.

Geometry as CIF:
```
data_TbNi4Rh
_chemical_formula_sum 'Tb1 Ni4 Rh1'
_cell_length_a 4.8851
_cell_length_b 4.8851
_cell_length_c 4.8851
_cell_angle_alpha 60.00
_cell_angle_beta 60.00
_cell_angle_gamma 60.00
_symmetry_space_group_name_H-M 'P 1'
_symmetry_Int_Tables_number 1
_symmetry_space_group_name_Hall 'P 1'
loop_
_atom_site_label
_atom_site_type_symbol
_atom_site_fract_x
_atom_site_fract_y
_atom_site_fract_z
Ni1 Ni 0.6240 0.6240 0.1281
Rh1 Rh 0.2500 0.2500 0.2500
Ni2 Ni 0.6240 0.1281 0.6240
Ni3 Ni 0.1281 0.6240 0.6240
Tb1 Tb 0.0000 0.0000 0.0000
Ni4 Ni 0.6240 0.6240 0.6240
```

## Properties
As for the space group: No. 216. The density of states at the Fermi level comes out at 10.28 states/eV/cell.

The structure with the most favorable energy is 2; the runner-up is 18.5 kJ/mol of atoms above it.

--- 1 ---
TbThNiRh: relaxed, PBE.

Geometry as CIF:
```
data_TbThNiRh
_chemical_formula_sum 'Tb1 Th1 Ni1 Rh1'
_cell_length_a 3.7647
_cell_length_b 4.4407
_cell_length_c 5.5044
_cell_angle_alpha 90.00
_cell_angle_beta 110.00
_cell_angle_gamma 90.00
_symmetry_space_group_name_H-M 'P 1'
_symmetry_Int_Tables_number 1
_symmetry_space_group_name_Hall 'P 1'
loop_
_atom_site_label
_atom_site_type_symbol
_atom_site_fract_x
_atom_site_fract_y
_atom_site_fract_z
Tb1 Tb 0.8631 0.5000 0.7262
Rh1 Rh 0.4131 0.0000 0.8262
Th1 Th 0.1386 0.0000 0.2773
Ni1 Ni 0.5851 0.5000 0.1703
```

## Properties
As for the space group: No. 38. The density of states at the Fermi level comes out at 2.64 states/eV/cell.

--- 2 ---
TbThNiRh: relaxed, PBE.

Geometry as CIF:
```
data_TbThNiRh
_chemical_formula_sum 'Tb1 Th1 Ni1 Rh1'
_cell_length_a 4.9406
_cell_length_b 4.9406
_cell_length_c 4.9406
_cell_angle_alpha 60.00
_cell_angle_beta 60.00
_cell_angle_gamma 60.00
_symmetry_space_group_name_H-M 'P 1'
_symmetry_Int_Tables_number 1
_symmetry_space_group_name_Hall 'P 1'
loop_
_atom_site_label
_atom_site_type_symbol
_atom_site_fract_x
_atom_site_fract_y
_atom_site_fract_z
Th1 Th 0.5000 0.5000 0.5000
Tb1 Tb 0.0000 0.0000 0.0000
Ni1 Ni 0.2500 0.2500 0.2500
Rh1 Rh 0.7500 0.7500 0.7500
```

## Properties
As for the space group: No. 216. The density of states at the Fermi level comes out at 5.10 states/eV/cell.

The structure with the most favorable energy is 1; the runner-up is 12.0 kJ/mol of atoms above it.

--- 1 ---
TbTmNiRh: relaxed, PBE.

Geometry as CIF:
```
data_TbTmNiRh
_chemical_formula_sum 'Tb1 Tm1 Ni1 Rh1'
_cell_length_a 3.8038
_cell_length_b 4.0965
_cell_length_c 5.5819
_cell_angle_alpha 90.00
_cell_angle_beta 109.92
_cell_angle_gamma 90.00
_symmetry_space_group_name_H-M 'P 1'
_symmetry_Int_Tables_number 1
_symmetry_space_group_name_Hall 'P 1'
loop_
_atom_site_label
_atom_site_type_symbol
_atom_site_fract_x
_atom_site_fract_y
_atom_site_fract_z
Tb1 Tb 0.1423 0.0000 0.2847
Tm1 Tm 0.8599 0.5000 0.7197
Rh1 Rh 0.4197 0.0000 0.8395
Ni1 Ni 0.5781 0.5000 0.1562
```

## Properties
As for the space group: No. 38. The density of states at the Fermi level comes out at 2.36 states/eV/cell.

--- 2 ---
TbTmNiRh: relaxed, PBE.

Geometry as CIF:
```
data_TbTmNiRh
_chemical_formula_sum 'Tb1 Tm1 Ni1 Rh1'
_cell_length_a 4.7990
_cell_length_b 4.7990
_cell_length_c 4.7990
_cell_angle_alpha 60.00
_cell_angle_beta 60.00
_cell_angle_gamma 60.00
_symmetry_space_group_name_H-M 'P 1'
_symmetry_Int_Tables_number 1
_symmetry_space_group_name_Hall 'P 1'
loop_
_atom_site_label
_atom_site_type_symbol
_atom_site_fract_x
_atom_site_fract_y
_atom_site_fract_z
Rh1 Rh 0.7500 0.7500 0.7500
Ni1 Ni 0.2500 0.2500 0.2500
Tm1 Tm 0.5000 0.5000 0.5000
Tb1 Tb 0.0000 0.0000 0.0000
```

## Properties
As for the space group: No. 216. The density of states at the Fermi level comes out at 1.83 states/eV/cell.

The structure with the most favorable energy is 1; the runner-up is 1.8 kJ/mol of atoms above it.